Record 1
VASP calculation (GGA-PBE) on a relaxed CaOsSe2N crystal.

The structure in POSCAR format:
```
CaOsSe2N
1.0
5.404 0.000 0.000
0.000 5.404 0.000
0.000 0.000 4.272
Ca Os Se N
1 1 2 1
direct
0.000 0.000 0.000
0.500 0.500 0.500
0.000 0.500 0.000
0.500 0.000 0.000
0.000 0.000 0.500
```

Output
As for the formation energy (no corrections): 163.6 kJ per mole of atoms. Its polymorph energy (0 for the lowest one) is 2.061 eV per atom.



Record 2
VASP calculation (GGA-PBE) on a relaxed CaOsSe2N crystal.

The structure in POSCAR format:
```
CaOsSe2N
1.0
5.219 0.000 0.000
0.000 5.219 0.000
0.000 0.000 3.715
Ca Os Se N
1 1 2 1
direct
0.000 0.000 0.000
0.500 0.500 0.500
0.000 0.500 0.500
0.500 0.000 0.500
0.500 0.500 0.000
```

Output
As for the formation energy (no corrections): -35.2 kJ per mole of atoms. Its polymorph energy (0 for the lowest one) is 0.000 eV per atom.